Entry 1:
The following is a DFT calculation (PBE) of crystalline Er2CdC4 at its relaxed geometry.

a b c (Å): 6.8103 6.8103 6.8103
angles (deg): 104.06 92.84 135.03
Last column: nearest neighbours and their distance in Å.
Positions (direct):
Er (0.1413, 0.1451, 0.2864)  3 C 2.31-2.53
Er (0.3587, 0.6451, 0.0038)  3 C 2.31-2.53
Er (0.6413, 0.3549, 0.9962)  3 C 2.31-2.53
Er (0.8587, 0.8549, 0.7136)  3 C 2.31-2.53
Cd (0.2500, 0.7500, 0.5000)  4 C 2.42, 2 Cd 2.60
Cd (0.7500, 0.2500, 0.5000)  4 C 2.42, 2 Cd 2.60
C (0.1085, 0.7103, 0.8188)  1 C 1.34
C (0.1274, 0.8693, 0.9967)  1 C 1.34
C (0.3726, 0.3693, 0.7419)  1 C 1.34
C (0.3915, 0.2103, 0.6018)  1 C 1.34
C (0.6085, 0.7897, 0.3982)  1 C 1.34
C (0.6274, 0.6307, 0.2581)  1 C 1.34
C (0.8726, 0.1307, 0.0033)  1 C 1.34
C (0.8915, 0.2897, 0.1812)  1 C 1.34

calculated volume	205	Å³/cell
crystal system	orthorhombic
space group	Ibam
total DFT energy (no corrections)	-6.61	eV per atom
spin magnetization	0.0	μB/cell



Entry 2:
The following is a DFT calculation (PBE) of crystalline CdH14C20N4O6F4 at its relaxed geometry.

a b c (Å): 7.6199 7.8522 9.0025
angles (deg): 77.43 66.91 80.18
Last column: nearest neighbours and their distance in Å.
Positions (direct):
Cd (0.0000, 0.0000, 0.0000)  4 O 2.31-2.33, 2 N 2.32
H (0.0088, 0.1532, 0.6752)  1 O 1.00
H (0.0459, 0.2819, 0.7769)  1 O 1.00
H (0.1177, 0.7215, 0.7503)  1 C 1.09
H (0.2409, 0.9559, 0.2841)  1 C 1.09
H (0.2830, 0.2671, 0.5507)  1 C 1.09
H (0.4017, 0.6242, 0.5181)  1 C 1.08
H (0.4432, 0.0090, 0.8617)  1 C 1.09
H (0.5568, 0.9910, 0.1383)  1 C 1.09
H (0.5983, 0.3758, 0.4819)  1 C 1.08
H (0.7170, 0.7329, 0.4493)  1 C 1.09
H (0.7591, 0.0441, 0.7159)  1 C 1.09
H (0.8823, 0.2785, 0.2497)  1 C 1.09
H (0.9541, 0.7181, 0.2231)  1 O 1.00
H (0.9912, 0.8468, 0.3248)  1 O 1.00
C (0.2274, 0.0348, 0.3751)  1 H 1.09
C (0.2454, 0.3135, 0.9339)  2 O 1.26-1.28
C (0.2580, 0.7644, 0.7194)  1 H 1.09
C (0.3223, 0.4658, 0.1177)  1 F 1.35, 2 C 1.39
C (0.3776, 0.4079, 0.9687)  3 C 1.39-1.51
C (0.3951, 0.1159, 0.3506)  3 C 1.40-1.44
C (0.4076, 0.2270, 0.4485)  1 H 1.09
C (0.4172, 0.7122, 0.5889)  1 H 1.08
C (0.4393, 0.9256, 0.7807)  1 H 1.09
C (0.4414, 0.5586, 0.1469)  1 F 1.36, 2 C 1.39
C (0.5586, 0.4414, 0.8531)  1 F 1.36, 2 C 1.39
C (0.5607, 0.0744, 0.2193)  1 H 1.09
C (0.5828, 0.2878, 0.4111)  1 H 1.08
C (0.5924, 0.7730, 0.5515)  1 H 1.09
C (0.6049, 0.8841, 0.6494)  3 C 1.40-1.44
C (0.6224, 0.5921, 0.0313)  3 C 1.39-1.51
C (0.6777, 0.5342, 0.8823)  1 F 1.35, 2 C 1.39
C (0.7420, 0.2356, 0.2806)  1 H 1.09
C (0.7546, 0.6865, 0.0661)  2 O 1.26-1.28
C (0.7726, 0.9652, 0.6249)  1 H 1.09
N (0.0688, 0.0473, 0.5000)  1 C 1.29, 1 N 1.38
N (0.2696, 0.8699, 0.8136)  2 C 1.34
N (0.7304, 0.1301, 0.1864)  2 C 1.34
N (0.9312, 0.9527, 0.5000)  1 C 1.29, 1 N 1.38
O (0.0436, 0.8007, 0.2189)  2 H 1.00
O (0.1892, 0.1754, 0.0367)  1 C 1.28
O (0.2052, 0.3774, 0.8091)  1 C 1.26
O (0.7948, 0.6226, 0.1909)  1 C 1.26
O (0.8108, 0.8246, 0.9633)  1 C 1.28
O (0.9564, 0.1993, 0.7811)  2 H 1.00
F (0.1503, 0.4309, 0.2364)  1 C 1.35
F (0.3786, 0.6191, 0.2908)  1 C 1.36
F (0.6214, 0.3809, 0.7092)  1 C 1.36
F (0.8497, 0.5691, 0.7637)  1 C 1.35

calculated volume	481	Å³/cell
ΔE to the lowest computed polymorph	0.0	meV/atom
crystal system	triclinic
space group	P-1
total DFT energy (no corrections)	-6.56	eV per atom



Entry 3:
The following is a DFT calculation (PBE) of crystalline CdH14C20N4O6F4 at its relaxed geometry.

a b c (Å): 6.5069 7.8845 10.7377
angles (deg): 104.11 104.08 104.01
Last column: nearest neighbours and their distance in Å.
Positions (direct):
Cd (0.0000, 0.0000, 0.0000)  4 O 2.28-2.39, 2 N 2.31
H (0.1579, 0.6505, 0.9537)  1 C 1.09
H (0.2123, 0.0328, 0.3120)  1 C 1.09
H (0.3244, 0.4603, 0.0765)  1 C 1.09
H (0.3692, 0.0959, 0.9327)  1 O 1.00
H (0.3738, 0.8535, 0.4501)  1 C 1.09
H (0.4376, 0.3901, 0.2876)  1 C 1.10
H (0.4678, 0.1623, 0.0910)  1 O 0.99
H (0.5322, 0.8377, 0.9090)  1 O 0.99
H (0.5624, 0.6099, 0.7124)  1 C 1.10
H (0.6262, 0.1465, 0.5499)  1 C 1.09
H (0.6308, 0.9041, 0.0673)  1 O 1.00
H (0.6756, 0.5397, 0.9235)  1 C 1.09
H (0.7877, 0.9672, 0.6880)  1 C 1.09
H (0.8421, 0.3495, 0.0463)  1 C 1.09
C (0.0173, 0.3295, 0.5011)  1 F 1.35, 2 C 1.38-1.39
C (0.0748, 0.6464, 0.6215)  3 C 1.39-1.50
C (0.0901, 0.4741, 0.6213)  1 F 1.36, 2 C 1.38-1.39
C (0.1378, 0.7989, 0.7527)  2 O 1.26
C (0.2093, 0.6919, 0.0638)  1 H 1.09
C (0.2382, 0.9046, 0.2641)  1 H 1.09
C (0.3013, 0.5861, 0.1321)  1 H 1.09
C (0.3296, 0.8068, 0.3402)  1 H 1.09
C (0.3571, 0.6414, 0.2732)  3 C 1.40-1.45
C (0.4288, 0.5219, 0.3454)  1 H 1.10
C (0.5712, 0.4781, 0.6546)  1 H 1.10
C (0.6429, 0.3586, 0.7268)  3 C 1.40-1.45
C (0.6704, 0.1932, 0.6598)  1 H 1.09
C (0.6987, 0.4139, 0.8679)  1 H 1.09
C (0.7618, 0.0954, 0.7359)  1 H 1.09
C (0.7907, 0.3081, 0.9362)  1 H 1.09
C (0.8622, 0.2011, 0.2473)  2 O 1.26
C (0.9099, 0.5259, 0.3787)  1 F 1.36, 2 C 1.38-1.39
C (0.9252, 0.3536, 0.3785)  3 C 1.39-1.50
C (0.9827, 0.6705, 0.4989)  1 F 1.35, 2 C 1.38-1.39
N (0.1740, 0.8458, 0.1274)  2 C 1.34-1.35
N (0.4725, 0.5676, 0.4755)  1 C 1.29, 1 N 1.38
N (0.5275, 0.4324, 0.5245)  1 C 1.29, 1 N 1.38
N (0.8260, 0.1542, 0.8726)  2 C 1.34-1.35
O (0.0214, 0.1996, 0.1994)  1 C 1.26
O (0.3367, 0.9068, 0.8022)  1 C 1.26
O (0.3625, 0.1820, 0.0163)  2 H 0.99-1.00
O (0.6375, 0.8180, 0.9837)  2 H 0.99-1.00
O (0.6633, 0.0932, 0.1978)  1 C 1.26
O (0.9786, 0.8004, 0.8006)  1 C 1.26
F (0.0433, 0.1649, 0.5025)  1 C 1.35
F (0.1778, 0.4472, 0.7409)  1 C 1.36
F (0.8222, 0.5528, 0.2591)  1 C 1.36
F (0.9567, 0.8351, 0.4975)  1 C 1.35

calculated volume	491	Å³/cell
ΔE to the lowest computed polymorph	2.3	meV/atom
crystal system	triclinic
space group	P-1
total DFT energy (no corrections)	-6.56	eV per atom



Entry 4:
The following is a DFT calculation (PBE) of crystalline CdH12C18N2O6F4 at its relaxed geometry.

a b c (Å): 6.7247 7.8207 8.1831
angles (deg): 85.94 71.77 86.15
Last column: nearest neighbours and their distance in Å.
Positions (direct):
Cd (0.0000, 0.0000, 0.0000)  4 O 2.31-2.34, 2 N 2.31
H (0.1227, 0.9731, 0.5922)  1 C 1.09
H (0.1332, 0.5996, 0.2045)  1 C 1.09
H (0.1336, 0.7688, 0.3746)  1 C 1.08
H (0.1399, 0.3771, 0.0077)  1 C 1.09
H (0.3680, 0.8514, 0.0891)  1 O 0.99
H (0.4043, 0.9180, 0.8979)  1 O 1.00
H (0.5957, 0.0820, 0.1021)  1 O 1.00
H (0.6320, 0.1486, 0.9109)  1 O 0.99
H (0.8601, 0.6229, 0.9923)  1 C 1.09
H (0.8664, 0.2312, 0.6254)  1 C 1.08
H (0.8668, 0.4004, 0.7955)  1 C 1.09
H (0.8773, 0.0269, 0.4078)  1 C 1.09
C (0.0020, 0.4364, 0.4371)  3 C 1.40-1.47
C (0.0632, 0.8455, 0.6311)  1 H 1.09
C (0.0701, 0.7286, 0.5097)  1 H 1.08
C (0.0774, 0.4745, 0.2590)  1 H 1.09
C (0.0813, 0.3497, 0.1461)  1 H 1.09
C (0.3668, 0.1997, 0.7286)  2 O 1.26-1.27
C (0.4387, 0.3551, 0.6108)  3 C 1.39-1.50
C (0.4631, 0.3507, 0.4363)  1 F 1.35, 2 C 1.39
C (0.4759, 0.5060, 0.6737)  1 F 1.35, 2 C 1.39
C (0.5241, 0.4940, 0.3263)  1 F 1.35, 2 C 1.39
C (0.5369, 0.6493, 0.5637)  1 F 1.35, 2 C 1.39
C (0.5613, 0.6449, 0.3892)  3 C 1.39-1.50
C (0.6332, 0.8003, 0.2714)  2 O 1.26-1.27
C (0.9187, 0.6503, 0.8539)  1 H 1.09
C (0.9226, 0.5255, 0.7410)  1 H 1.09
C (0.9299, 0.2714, 0.4903)  1 H 1.08
C (0.9368, 0.1545, 0.3689)  1 H 1.09
C (0.9980, 0.5636, 0.5629)  3 C 1.40-1.47
N (0.0133, 0.1915, 0.1987)  2 C 1.34
N (0.9867, 0.8085, 0.8013)  2 C 1.34
O (0.1721, 0.1783, 0.7698)  1 C 1.27
O (0.3123, 0.8434, 0.9911)  2 H 0.99-1.00
O (0.4975, 0.8939, 0.2260)  1 C 1.26
O (0.5025, 0.1061, 0.7740)  1 C 1.26
O (0.6877, 0.1566, 0.0089)  2 H 0.99-1.00
O (0.8279, 0.8217, 0.2302)  1 C 1.27
F (0.4257, 0.2042, 0.3750)  1 C 1.35
F (0.4537, 0.5116, 0.8433)  1 C 1.35
F (0.5463, 0.4884, 0.1567)  1 C 1.35
F (0.5743, 0.7958, 0.6250)  1 C 1.35

calculated volume	407	Å³/cell
crystal system	triclinic
space group	P-1
total DFT energy (no corrections)	-6.54	eV per atom